[1]
A relaxed Ga2MoI2 crystal, computed with GGA-PBE.

Results
E above lowest polymorph: 0.0 meV/atom
Formation energy (no corrections): 550 meV/atom

Cell lengths 3.519, 3.519, 22.109 Å; angles 90.00, 90.00, 90.00 degrees
Space group I4/mmm (No. 139)
Unique sites:
Ga 0.000 0.500 0.250 x4
Mo 0.000 0.000 0.000 x2
I 0.000 0.000 0.424 x4


[2]
A relaxed Ca2PrNd crystal, computed with GGA-PBE.

Results
ΔH_f (0 K): 0.03 eV per atom
E above lowest polymorph: 0.0 meV/atom

Cell lengths 3.7871, 3.7871, 37.4446 Å; angles 90.00, 90.00, 120.00 degrees
Space group R3m (No. 160, hexagonal axes)
Unique sites:
Ca 0.0000 0.0000 0.0000 x3
Ca 0.0000 0.0000 0.4203 x3
Pr 0.0000 0.0000 0.8391 x3
Nd 0.0000 0.0000 0.5819 x3


[3]
A relaxed KAc2PdO5 crystal, computed with GGA-PBE.

Results
Formation energy (no corrections): -2075 meV/atom

Cell lengths 7.201, 7.201, 12.324 Å; angles 90.00, 90.00, 90.00 degrees
Space group I4/mcm (No. 140)
Unique sites:
K 0.000 0.000 0.250 x4
Ac 0.180 0.320 0.000 x8
Pd 0.000 0.500 0.250 x4
O 0.000 0.000 0.000 x4
O 0.128 0.372 0.377 x16


[4]
A relaxed Cd3Pd13 crystal, computed with GGA-PBE.

Results
ΔH_f (0 K): -0.17 eV per atom

Cell lengths 8.027, 8.005, 8.030 Å; angles 90.00, 90.00, 90.00 degrees
Space group Amm2 (No. 38)
Unique sites:
Cd 0.000 0.000 0.000 x2
Cd 0.257 0.000 0.268 x4
Pd 0.000 0.000 0.517 x2
Pd 0.000 0.247 0.259 x4
Pd 0.251 0.000 0.760 x4
Pd 0.251 0.249 0.014 x8
Pd 0.500 0.000 0.009 x2
Pd 0.500 0.000 0.518 x2
Pd 0.500 0.246 0.763 x4


[5]
A relaxed CaMgFeH6 crystal, computed with GGA-PBE.

Results
Final energy: -34.910 eV per formula unit

Cell lengths 4.6211, 4.6211, 4.6158 Å; angles 90.00, 90.00, 120.00 degrees
Space group P312 (No. 149)
Unique sites:
Ca 0.0000 0.0000 0.0000 x1
Mg 0.3333 0.6667 0.5000 x1
Fe 0.6667 0.3333 0.5000 x1
H 0.4176 0.0581 0.7222 x6


[6]
A relaxed AsPtRh crystal, computed with GGA-PBE.

Results
ΔH_f (0 K): -0.09 eV per atom

Cell lengths 2.933, 3.218, 9.836 Å; angles 90.00, 90.00, 90.00 degrees
Space group Imm2 (No. 44)
Unique sites:
As 0.000 0.000 0.000 x2
Pt 0.000 0.000 0.666 x2
Rh 0.000 0.000 0.363 x2


[7]
A relaxed CoIBr2 crystal, computed with GGA-PBE.

Results
E above lowest polymorph: 66.9 meV/atom
Formation energy (no corrections): -178 meV/atom

Cell lengths 6.249, 6.135, 10.990 Å; angles 90.00, 90.00, 90.00 degrees
Space group Pnna (No. 52)
Unique sites:
Co 0.250 0.000 0.085 x4
I 0.065 0.250 0.250 x4
Br 0.068 0.216 0.927 x8


[8]
A relaxed MnAuSe2 crystal, computed with GGA-PBE.

Results
Formation energy (no corrections): -141 meV/atom

Cell lengths 3.889, 3.889, 5.424 Å; angles 90.00, 90.00, 90.00 degrees
Space group P4/mmm (No. 123)
Unique sites:
Mn 0.000 0.000 0.000 x1
Au 0.500 0.500 0.500 x1
Se 0.000 0.000 0.500 x1
Se 0.500 0.500 0.000 x1


[9]
A relaxed CdGePd3 crystal, computed with GGA-PBE.

Results
ΔH_f (0 K): 0.00 eV per atom
E above lowest polymorph: 367.9 meV/atom

Cell lengths 4.638, 4.638, 4.638 Å; angles 90.00, 90.00, 90.00 degrees
Space group Pm-3m (No. 221)
Unique sites:
Cd 0.000 0.000 0.000 x1
Ge 0.500 0.500 0.500 x1
Pd 0.000 0.500 0.500 x3


[10]
A relaxed Cd2C3N6 crystal, computed with GGA-PBE.

Results
Formation energy (no corrections): 408 meV/atom

Cell lengths 17.050, 3.585, 5.396 Å; angles 90.00, 107.62, 90.00 degrees
Space group C2/m (No. 12)
Unique sites:
Cd 0.157 0.000 0.029 x4
C 0.000 0.000 0.500 x2
C 0.171 0.500 0.534 x4
N 0.030 0.000 0.738 x4
N 0.149 0.500 0.296 x4
N 0.193 0.500 0.776 x4


[11]
A relaxed InMoPb2 crystal, computed with GGA-PBE.

Results
ΔH_f (0 K): 0.46 eV per atom

Cell lengths 3.2558, 3.2558, 32.7550 Å; angles 90.00, 90.00, 120.00 degrees
Space group R3m (No. 160, hexagonal axes)
Unique sites:
In 0.0000 0.0000 0.0000 x3
Mo 0.0000 0.0000 0.7338 x3
Pb 0.0000 0.0000 0.2429 x3
Pb 0.0000 0.0000 0.4714 x3


[12]
A relaxed Li2VAuC crystal, computed with GGA-PBE.

Results
ΔH_f (0 K): 0.07 eV per atom

Cell lengths 4.030, 4.030, 3.949 Å; angles 90.00, 90.00, 90.00 degrees
Space group P4/mmm (No. 123)
Unique sites:
Li 0.000 0.500 0.000 x2
V 0.000 0.000 0.500 x1
Au 0.500 0.500 0.500 x1
C 0.000 0.000 0.000 x1


[13]
A relaxed LaNdGeIr crystal, computed with GGA-PBE.

Results
ΔH_f (0 K): -0.78 eV per atom

Cell lengths 4.181, 4.311, 11.117 Å; angles 90.00, 90.00, 90.00 degrees
Space group Amm2 (No. 38)
Unique sites:
La 0.000 0.000 0.000 x2
Nd 0.500 0.000 0.721 x2
Ge 0.000 0.000 0.293 x2
Ir 0.500 0.000 0.441 x2


[14]
A relaxed DySi2Pt8 crystal, computed with GGA-PBE.

Results
Formation energy (no corrections): -436 meV/atom

Cell lengths 5.454, 5.454, 7.355 Å; angles 90.00, 90.00, 90.00 degrees
Space group P4/mmm (No. 123)
Unique sites:
Dy 0.000 0.000 0.000 x1
Si 0.000 0.500 0.500 x2
Pt 0.253 0.253 0.292 x8


[15]
A relaxed Hg4BiPb6 crystal, computed with GGA-PBE.

Results
ΔH_f (0 K): 0.08 eV per atom

Cell lengths 6.372, 6.372, 16.676 Å; angles 90.00, 90.00, 90.00 degrees
Space group I-42m (No. 121)
Unique sites:
Hg 0.181 0.181 0.368 x8
Bi 0.000 0.000 0.000 x2
Pb 0.000 0.500 0.000 x4
Pb 0.201 0.201 0.178 x8


[16]
A relaxed AcLa3 crystal, computed with GGA-PBE.

Results
ΔH_f (0 K): 0.03 eV per atom
E above lowest polymorph: 30.2 meV/atom

Cell lengths 7.6691, 7.6691, 6.1723 Å; angles 90.00, 90.00, 120.00 degrees
Space group P6_3/mmc (No. 194)
Unique sites:
Ac 0.3333 0.6667 0.2500 x2
La 0.1644 0.3287 0.7500 x6


[17]
A relaxed Sr2DyAu2O6 crystal, computed with GGA-PBE.

Results
Formation energy (no corrections): -1527 meV/atom

Cell lengths 6.2661, 6.2661, 17.5413 Å; angles 90.00, 90.00, 120.00 degrees
Space group R-3m (No. 166, hexagonal axes)
Unique sites:
Sr 0.0000 0.0000 0.2029 x6
Dy 0.0000 0.0000 0.0000 x3
Au 0.0000 0.0000 0.4152 x6
O 0.0435 0.5217 0.7586 x18


[18]
A relaxed Ag2Pb crystal, computed with GGA-PBE.

Results
ΔH_f (0 K): 0.14 eV per atom

Cell lengths 5.0737, 5.0737, 6.0005 Å; angles 90.00, 90.00, 120.00 degrees
Space group P6_3/mmc (No. 194)
Unique sites:
Ag 0.0000 0.0000 0.0000 x2
Ag 0.3333 0.6667 0.2500 x2
Pb 0.3333 0.6667 0.7500 x2


[19]
A relaxed Sm6YEr crystal, computed with GGA-PBE.

Results
ΔH_f (0 K): 0.02 eV per atom
E above lowest polymorph: 0.0 meV/atom

Cell lengths 5.099, 5.099, 10.198 Å; angles 90.00, 90.00, 90.00 degrees
Space group P4/mmm (No. 123)
Unique sites:
Sm 0.000 0.000 0.000 x1
Sm 0.000 0.000 0.500 x1
Sm 0.000 0.500 0.249 x4
Y 0.500 0.500 0.500 x1
Er 0.500 0.500 0.000 x1